Density functional theory data (PBE) for a geometry-optimized BaBeSb2I structure.

Properties
symmetry = P4/mmm
D(E_F) = 3.2 states/eV/f.u.
formation energy (no corrections) = -1.6 eV per formula unit

Cell lengths 4.903, 4.903, 6.782 Å; angles 90.00, 90.00, 90.00 degrees
Fractional positions:
Ba1 0.000 0.000 0.000
Be1 0.500 0.500 0.500
Sb1 0.000 0.500 0.500
Sb2 0.500 0.000 0.500
I1 0.500 0.500 0.000

Density functional theory data (PBE) for a geometry-optimized Ba12Pt3Au5 structure.

Properties
energy of formation = -411 meV per atom
symmetry = Ia-3d
D(E_F) = 14.7 states/eV/f.u.

Cell lengths 16.594, 16.594, 16.594 Å; angles 109.47, 109.47, 109.47 degrees
Fractional positions:
Ba1 0.052 0.226 0.130
Ba2 0.052 0.326 0.922
Ba3 0.078 0.630 0.404
Ba4 0.078 0.948 0.674
Ba5 0.096 0.726 0.674
Ba6 0.096 0.870 0.422
Ba7 0.130 0.052 0.226
Ba8 0.130 0.578 0.904
Ba9 0.174 0.226 0.596
Ba10 0.174 0.448 0.578
Ba11 0.226 0.130 0.052
Ba12 0.226 0.596 0.174
Ba13 0.274 0.326 0.904
Ba14 0.274 0.448 0.370
Ba15 0.326 0.904 0.274
Ba16 0.326 0.922 0.052
Ba17 0.370 0.274 0.448
Ba18 0.370 0.596 0.922
Ba19 0.404 0.078 0.630
Ba20 0.404 0.826 0.774
Ba21 0.422 0.096 0.870
Ba22 0.422 0.826 0.552
Ba23 0.448 0.370 0.274
Ba24 0.448 0.578 0.174
Ba25 0.552 0.422 0.826
Ba26 0.552 0.630 0.726
Ba27 0.578 0.174 0.448
Ba28 0.578 0.904 0.130
Ba29 0.596 0.174 0.226
Ba30 0.596 0.922 0.370
Ba31 0.630 0.404 0.078
Ba32 0.630 0.726 0.552
Ba33 0.674 0.078 0.948
Ba34 0.674 0.096 0.726
Ba35 0.726 0.552 0.630
Ba36 0.726 0.674 0.096
Ba37 0.774 0.404 0.826
Ba38 0.774 0.870 0.948
Ba39 0.826 0.552 0.422
Ba40 0.826 0.774 0.404
Ba41 0.870 0.422 0.096
Ba42 0.870 0.948 0.774
Ba43 0.904 0.130 0.578
Ba44 0.904 0.274 0.326
Ba45 0.922 0.052 0.326
Ba46 0.922 0.370 0.596
Ba47 0.948 0.674 0.078
Ba48 0.948 0.774 0.870
Pt1 0.125 0.250 0.375
Pt2 0.125 0.375 0.750
Pt3 0.250 0.375 0.125
Pt4 0.250 0.875 0.625
Pt5 0.375 0.125 0.250
Pt6 0.375 0.750 0.125
Pt7 0.625 0.250 0.875
Pt8 0.625 0.875 0.750
Pt9 0.750 0.125 0.375
Pt10 0.750 0.625 0.875
Pt11 0.875 0.625 0.250
Pt12 0.875 0.750 0.625
Au1 0.000 0.000 0.000
Au2 0.000 0.000 0.500
Au3 0.000 0.500 0.000
Au4 0.000 0.500 0.500
Au5 0.125 0.750 0.875
Au6 0.125 0.875 0.250
Au7 0.250 0.125 0.875
Au8 0.250 0.625 0.375
Au9 0.375 0.250 0.625
Au10 0.375 0.625 0.750
Au11 0.500 0.000 0.000
Au12 0.500 0.000 0.500
Au13 0.500 0.500 0.000
Au14 0.500 0.500 0.500
Au15 0.625 0.375 0.250
Au16 0.625 0.750 0.375
Au17 0.750 0.375 0.625
Au18 0.750 0.875 0.125
Au19 0.875 0.125 0.750
Au20 0.875 0.250 0.125

Density functional theory data (PBE) for a geometry-optimized PmHo2Te4 structure.

Properties
symmetry = Cmcm
D(E_F) = 2.7 states/eV/f.u.
formation energy (no corrections) = -9.6 eV per formula unit

Cell lengths 7.469, 7.469, 14.955 Å; angles 90.00, 90.00, 146.72 degrees
Fractional positions:
Pm1 0.126 0.874 0.750
Pm2 0.874 0.126 0.250
Ho1 0.369 0.631 0.568
Ho2 0.369 0.631 0.932
Ho3 0.631 0.369 0.068
Ho4 0.631 0.369 0.432
Te1 0.000 0.000 0.000
Te2 0.000 0.000 0.500
Te3 0.276 0.724 0.120
Te4 0.276 0.724 0.380
Te5 0.462 0.538 0.750
Te6 0.538 0.462 0.250
Te7 0.724 0.276 0.620
Te8 0.724 0.276 0.880

> Which formula does entry 1 have?

BaBeSb2I

> Among the records above, which one has the highest D(E_F)?

Ba12Pt3Au5

> What is the formula in the second record?

Ba12Pt3Au5

> Which of these has the lowest D(E_F)?

PmHo2Te4